Entry 1
5
Lattice="4.083 0.000 0.000 0.000 4.083 0.000 0.000 0.000 4.164" Properties=species:S:1:pos:R:3 comment="BP2PdS (PBE, relaxed)" vol_a3_per_cell=69 spacegroup="No. 123" pbc="T T T"
P 0.000 2.042 0.000
P 2.042 0.000 0.000
S 0.000 0.000 2.082
B 0.000 0.000 0.000
Pd 2.042 2.042 2.082

Entry 2
5
Lattice="4.571 0.000 0.000 0.000 4.571 0.000 0.000 0.000 5.014" Properties=species:S:1:pos:R:3 comment="BP2PdS (PBE, relaxed)" vol_a3_per_cell=105 spacegroup="No. 123" pbc="T T T"
P 0.000 2.285 0.000
P 2.285 0.000 0.000
S 0.000 0.000 2.507
B 2.285 2.285 2.507
Pd 0.000 0.000 0.000

Stability check: which of them is least stable? entry 2.

Entry 1
6
Lattice="3.243 0.000 0.000 0.000 3.774 0.000 0.000 1.887 11.075" Properties=species:S:1:pos:R:3 comment="PrBP (PBE, relaxed)" vol_a3_per_cell=136 spacegroup="No. 63" pbc="T T T"
B 2.432 3.774 7.848
B 0.811 1.887 3.227
Pr 0.811 1.887 9.156
Pr 2.432 3.774 1.919
P 0.811 3.774 6.859
P 2.432 1.887 4.216

Entry 2
6
Lattice="-2.368 -2.364 -0.627 2.581 1.118 -4.721 3.500 -4.676 4.403" Properties=species:S:1:pos:R:3 comment="PrBP (PBE, relaxed)" vol_a3_per_cell=117 spacegroup="No. 12" pbc="T T T"
Pr 1.957 -4.635 0.839
Pr 1.756 -1.286 -1.784
B 0.599 -1.775 -4.813
B 3.114 -4.146 3.867
P 3.740 -3.436 -1.174
P -0.027 -2.485 0.228

Stability check: which of them is least stable? entry 1.

Entry 1
4
Lattice="-1.102 -5.452 -0.413 -4.078 -1.774 -3.367 1.252 -2.751 -4.688" Properties=species:S:1:pos:R:3 comment="Rb2BP (PBE, relaxed)" vol_a3_per_cell=123 spacegroup="No. 225" pbc="T T T"
P -1.964 -4.988 -4.234
B 0.000 0.000 0.000
Rb -0.982 -2.494 -2.117
Rb -2.945 -7.483 -6.351

Entry 2
8
Lattice="-4.703 -0.452 1.554 1.617 -1.138 4.563 -1.670 9.690 5.719" Properties=species:S:1:pos:R:3 comment="Rb2BP (PBE, relaxed)" vol_a3_per_cell=268 spacegroup="No. 122" pbc="T T T"
P 0.000 0.000 0.000
P -3.958 4.222 5.166
B -1.543 -0.795 3.059
B -0.798 3.878 6.671
Rb -3.086 2.005 2.949
Rb -0.063 1.648 4.499
Rb -2.386 6.655 6.650
Rb -3.976 5.893 9.576

Stability check: which of them is least stable? entry 2.

Entry 1
5
Lattice="4.285 0.000 0.000 0.000 4.285 0.000 0.000 0.000 5.179" Properties=species:S:1:pos:R:3 comment="RbBP2S (PBE, relaxed)" vol_a3_per_cell=95 spacegroup="No. 123" pbc="T T T"
P 0.000 2.142 0.000
P 2.142 0.000 0.000
S 0.000 0.000 2.590
B 0.000 0.000 0.000
Rb 2.142 2.142 2.590

Entry 2
5
Lattice="6.577 0.000 0.000 0.000 6.577 0.000 0.000 0.000 6.012" Properties=species:S:1:pos:R:3 comment="RbBP2S (PBE, relaxed)" vol_a3_per_cell=260 spacegroup="No. 123" pbc="T T T"
P 0.000 3.288 0.000
P 3.288 0.000 0.000
S 0.000 0.000 3.006
B 3.288 3.288 3.006
Rb 0.000 0.000 0.000

Stability check: which of them is least stable? entry 2.

Entry 1
5
Lattice="-3.944 3.535 -2.964 -3.788 -4.707 -0.574 -2.780 1.560 5.559" Properties=species:S:1:pos:R:3 comment="RbBPS2 (PBE, relaxed)" vol_a3_per_cell=236 spacegroup="No. 123" pbc="T T T"
P -1.390 0.780 2.780
S -1.894 -2.354 -0.287
S -1.972 1.767 -1.482
B -5.256 0.194 1.011
Rb 0.000 0.000 0.000

Entry 2
5
Lattice="4.951 0.000 0.000 0.000 3.989 0.000 0.000 0.000 4.951" Properties=species:S:1:pos:R:3 comment="RbBPS2 (PBE, relaxed)" vol_a3_per_cell=98 spacegroup="No. 123" pbc="T T T"
P 0.000 0.000 0.000
S 0.000 0.000 2.476
S 2.476 0.000 0.000
B 0.000 1.994 0.000
Rb 2.476 1.994 2.476

Stability check: which of them is least stable? entry 1.

Entry 1
3
Lattice="2.884 0.000 0.000 0.000 2.884 0.000 0.000 0.000 4.450" Properties=species:S:1:pos:R:3 comment="ReBP (PBE, relaxed)" vol_a3_per_cell=37 spacegroup="No. 99" pbc="T T T"
Re 0.000 0.000 0.036
B 1.442 1.442 1.155
P 1.442 1.442 3.077

Entry 2
3
Lattice="-1.214 1.526 -2.148 -0.120 -2.447 -1.671 -3.784 -0.858 1.529" Properties=species:S:1:pos:R:3 comment="ReBP (PBE, relaxed)" vol_a3_per_cell=36 spacegroup="No. 25" pbc="T T T"
Re -0.849 0.708 -0.976
B -1.148 -1.470 -0.396
P -2.966 -0.981 -0.981

Entry 3
9
Lattice="2.987 0.000 0.000 -1.493 2.587 0.000 0.000 0.000 13.194" Properties=species:S:1:pos:R:3 comment="ReBP (PBE, relaxed)" vol_a3_per_cell=102 spacegroup="No. 160" pbc="T T T"
Re 0.000 0.000 9.915
Re 0.000 1.725 5.517
Re 1.493 0.862 1.119
B 0.000 0.000 4.116
B 0.000 1.725 12.912
B 1.493 0.862 8.514
P 0.000 0.000 7.379
P 0.000 1.725 2.981
P 1.493 0.862 11.777

Entry 4
3
Lattice="3.068 0.000 -0.015 0.000 3.067 0.000 -1.521 0.000 4.268" Properties=species:S:1:pos:R:3 comment="ReBP (PBE, relaxed)" vol_a3_per_cell=40 spacegroup="No. 6" pbc="T T T"
Re 1.566 1.533 2.294
B 0.027 0.000 1.801
P 0.024 1.533 0.432

Stability check: which of them is least stable? entry 3.

Entry 1
5
Lattice="4.119 0.000 0.000 0.000 4.119 0.000 0.000 0.000 3.981" Properties=species:S:1:pos:R:3 comment="BPRhS2 (PBE, relaxed)" vol_a3_per_cell=68 spacegroup="No. 123" pbc="T T T"
P 0.000 0.000 1.990
S 0.000 2.059 0.000
S 2.059 0.000 0.000
B 0.000 0.000 0.000
Rh 2.059 2.059 1.990

Entry 2
5
Lattice="4.827 0.000 0.000 0.000 4.827 0.000 0.000 0.000 4.346" Properties=species:S:1:pos:R:3 comment="BPRhS2 (PBE, relaxed)" vol_a3_per_cell=101 spacegroup="No. 123" pbc="T T T"
P 0.000 0.000 2.173
S 0.000 2.414 0.000
S 2.414 0.000 0.000
B 2.414 2.414 2.173
Rh 0.000 0.000 0.000

Stability check: which of them is least stable? entry 2.

Entry 1
8
Lattice="4.972 0.000 0.000 0.000 4.972 0.000 2.486 2.486 4.862" Properties=species:S:1:pos:R:3 comment="BPRu2 (PBE, relaxed)" vol_a3_per_cell=120 spacegroup="No. 122" pbc="T T T"
Ru 3.563 1.243 1.215
Ru 1.409 3.729 1.215
Ru 3.729 3.895 3.646
Ru 6.215 6.049 3.646
B 2.486 2.486 0.000
B 2.486 4.972 2.431
P 0.000 0.000 0.000
P 4.972 2.486 2.431

Entry 2
4
Lattice="0.000 2.823 2.823 2.823 0.000 2.823 2.823 2.823 0.000" Properties=species:S:1:pos:R:3 comment="BPRu2 (PBE, relaxed)" vol_a3_per_cell=45 spacegroup="No. 225" pbc="T T T"
Ru 1.412 1.412 1.412
Ru 4.235 4.235 4.235
B 0.000 0.000 0.000
P 2.823 2.823 2.823

Stability check: which of them is least stable? entry 1.

Entry 1
5
Lattice="3.975 0.000 0.000 0.000 3.975 0.000 0.000 0.000 4.127" Properties=species:S:1:pos:R:3 comment="BP2RuS (PBE, relaxed)" vol_a3_per_cell=65 spacegroup="No. 123" pbc="T T T"
Ru 1.987 1.987 2.063
S 0.000 0.000 2.063
B 0.000 0.000 0.000
P 0.000 1.987 0.000
P 1.987 0.000 0.000

Entry 2
5
Lattice="-0.189 1.792 -4.024 -1.287 -3.875 -1.665 -4.946 1.295 0.809" Properties=species:S:1:pos:R:3 comment="BP2RuS (PBE, relaxed)" vol_a3_per_cell=101 spacegroup="No. 123" pbc="T T T"
Ru 0.000 0.000 0.000
S -2.473 0.647 0.404
B -3.211 -0.394 -2.440
P -0.643 -1.937 -0.833
P -0.094 0.896 -2.012

Stability check: which of them is least stable? entry 2.

Entry 1
6
Lattice="-0.050 -2.126 2.557 2.099 -3.298 -2.702 5.777 2.298 1.683" Properties=species:S:1:pos:R:3 comment="BPS (PBE, relaxed)" vol_a3_per_cell=102 spacegroup="No. 6" pbc="T T T"
P 6.430 -2.429 1.871
P 5.470 -0.921 3.106
S 3.927 -1.530 0.740
S 0.692 0.255 0.227
B 5.692 -1.990 0.081
B 4.391 0.055 1.756

Entry 2
6
Lattice="-2.670 -1.184 -1.025 -0.425 -2.635 4.064 -4.796 6.731 4.730" Properties=species:S:1:pos:R:3 comment="BPS (PBE, relaxed)" vol_a3_per_cell=143 spacegroup="No. 1" pbc="T T T"
P -3.208 1.377 6.172
P -4.063 3.420 6.043
S -0.878 -0.055 1.743
S -3.933 0.566 4.324
B -1.764 -1.573 1.133
B -5.833 3.651 5.712

Stability check: which of them is least stable? entry 1.

Entry 1
3
Lattice="-1.325 2.796 -1.247 -1.867 -0.173 -2.774 -4.505 0.288 1.177" Properties=species:S:1:pos:R:3 comment="BPS (PBE, relaxed)" vol_a3_per_cell=42 spacegroup="No. 1" pbc="T T T"
P -2.759 0.003 -1.387
S -6.047 1.204 -1.708
B -4.324 0.781 -2.390

Entry 2
12
Lattice="11.057 0.000 0.032 0.000 3.170 0.000 -1.196 0.000 5.481" Properties=species:S:1:pos:R:3 comment="BPS (PBE, relaxed)" vol_a3_per_cell=192 spacegroup="No. 8" pbc="T T T"
P 0.086 0.000 0.396
P -0.512 1.585 3.136
P 8.131 0.000 4.096
P 8.729 1.585 1.355
S 5.385 0.000 1.588
S 4.787 1.585 4.329
S 0.953 0.000 2.734
S 0.355 1.585 5.474
B 5.389 0.000 5.414
B 5.988 1.585 2.673
B 8.273 0.000 0.295
B 7.675 1.585 3.036

Entry 3
12
Lattice="10.435 0.000 -1.623 0.000 3.094 0.000 -2.942 0.000 9.952" Properties=species:S:1:pos:R:3 comment="BPS (PBE, relaxed)" vol_a3_per_cell=307 spacegroup="No. 8" pbc="T T T"
P 7.568 0.000 -1.059
P 6.097 1.547 3.917
P 6.746 0.000 8.233
P 8.216 1.547 3.257
S -0.066 0.000 9.347
S 1.405 1.547 4.371
S 5.329 0.000 2.646
S 3.858 1.547 7.622
B 0.384 0.000 4.539
B -1.087 1.547 9.515
B -1.273 0.000 4.818
B -2.743 1.547 9.794

Stability check: which of them is least stable? entry 1.

Entry 1
12
Lattice="8.025 0.000 -0.047 0.000 3.010 0.000 -6.539 0.000 9.803" Properties=species:S:1:pos:R:3 comment="BPS (PBE, relaxed)" vol_a3_per_cell=236 spacegroup="No. 8" pbc="T T T"
P 3.175 0.000 1.891
P -0.095 1.505 6.793
P 5.231 0.000 1.110
P 1.961 1.505 6.012
S -3.457 0.000 7.860
S -0.188 1.505 2.959
S 3.644 0.000 3.940
S 0.375 1.505 8.841
B 0.616 0.000 3.624
B -2.654 1.505 8.526
B 1.929 0.000 4.727
B -1.341 1.505 9.629

Entry 2
6
Lattice="3.149 0.000 0.004 -1.573 5.934 -0.006 -0.053 -2.511 6.690" Properties=species:S:1:pos:R:3 comment="BPS (PBE, relaxed)" vol_a3_per_cell=125 spacegroup="No. 1" pbc="T T T"
P 0.471 0.793 2.060
P 0.473 2.809 1.157
S 0.421 3.513 6.392
S 2.044 0.721 3.508
B -1.101 5.372 0.645
B -1.102 3.752 1.164

Stability check: which of them is least stable? entry 1.